1.
Below is a relaxed structure of ZnIn3, with properties calculated at the PBE level.

a b c (Å): 3.224 3.259 9.436
angles (deg): 90.00 90.00 90.00
Space group Pmm2 (No. 25)
Inequivalent atoms, fractional coordinates:
Zn 0.000 0.000 0.000
In 0.000 0.500 0.250
In 0.500 0.000 0.508
In 0.500 0.500 0.800

Properties
spin magnetization: 0.00 μB/f.u.
E_form: 0.070 eV per atom
calculated volume: 99.1 Å³/cell
raw total energy: -2.302 eV/atom
crystal system: orthorhombic

2.
Below is a relaxed structure of Sr5W, with properties calculated at the PBE level.

a b c (Å): 5.763 14.805 5.786
angles (deg): 90.00 90.00 90.00
Space group Cmmm (No. 65)
Inequivalent atoms, fractional coordinates:
Sr 0.000 0.000 0.000
Sr 0.000 0.147 0.500
Sr 0.000 0.353 0.000
W 0.000 0.500 0.500

Properties
spin magnetization: 3.12 μB/f.u.
E_form: 0.735 eV per atom
energy above the lowest structure with this stoichiometry: 0.0951 eV per atom
calculated volume: 493.7 Å³/cell
raw total energy: -2.826 eV/atom
crystal system: orthorhombic

3.
Below is a relaxed structure of Tm4ZnTe2S, with properties calculated at the PBE level.

a b c (Å): 7.193 4.009 7.355
angles (deg): 90.00 107.86 90.00
Space group P2/m (No. 10)
Inequivalent atoms, fractional coordinates:
Tm 0.237 0.000 0.212
Tm 0.263 0.500 0.778
Zn 0.500 0.000 0.000
Te 0.000 0.000 0.500
Te 0.500 0.500 0.500
S 0.000 0.500 0.000

Properties
formation energy without anion corrections: -9.24 eV/f.u.
spin magnetization: 0.00 μB/f.u.
calculated volume: 201.9 Å³/cell
raw total energy: -4.851 eV/atom
crystal system: monoclinic

4.
Below is a relaxed structure of CsTlSn, with properties calculated at the PBE level.

a b c (Å): 12.561 4.469 10.340
angles (deg): 90.00 90.00 90.00
Space group Pnma (No. 62)
Inequivalent atoms, fractional coordinates:
Cs 0.199 0.250 0.084
Tl 0.043 0.250 0.740
Sn 0.072 0.250 0.449

Properties
spin magnetization: 0.00 μB/f.u.
E_form: -0.151 eV per atom
calculated volume: 580.4 Å³/cell
raw total energy: -2.559 eV/atom
crystal system: orthorhombic

The highest raw total energy belongs to which entry?
ZnIn3

Number 1 is which compound?
ZnIn3